Below is a relaxed structure of NaPN2F, with properties calculated at the PBE-GGA level.

Summary:
calculated total energy	-5.480	eV per atom
energy relative to the lowest polymorph listed for this composition	0.237	eV per atom
ΔE_f (raw)	-0.430	eV per atom

abc: 3.307 3.307 4.826
angles: 90.00 90.00 90.00
Fractional coordinates of all 5 atoms:
P1 0.000 0.000 0.000
N1 0.000 0.500 0.000
N2 0.500 0.000 0.000
F1 0.000 0.000 0.500
Na1 0.500 0.500 0.500


Below is a relaxed structure of NaPNF2, with properties calculated at the PBE-GGA level.

Summary:
calculated total energy	-4.858	eV per atom
energy relative to the lowest polymorph listed for this composition	0.000	eV per atom
ΔE_f (raw)	-1.098	eV per atom

abc: 4.339 4.339 3.322
angles: 90.00 90.00 90.00
Fractional coordinates of all 5 atoms:
P1 0.000 0.000 0.000
N1 0.000 0.000 0.500
F1 0.000 0.500 0.000
F2 0.500 0.000 0.000
Na1 0.500 0.500 0.500


Below is a relaxed structure of NaPNF2, with properties calculated at the PBE-GGA level.

Summary:
calculated total energy	-3.466	eV per atom
energy relative to the lowest polymorph listed for this composition	1.392	eV per atom
ΔE_f (raw)	0.294	eV per atom

abc: 3.947 3.947 4.490
angles: 90.00 90.00 90.00
Fractional coordinates of all 5 atoms:
P1 0.500 0.500 0.500
N1 0.000 0.000 0.500
F1 0.000 0.500 0.000
F2 0.500 0.000 0.000
Na1 0.000 0.000 0.000


Below is a relaxed structure of NaPbNF2, with properties calculated at the PBE-GGA level.

Summary:
calculated total energy	-4.306	eV per atom
energy relative to the lowest polymorph listed for this composition	0.000	eV per atom
ΔE_f (raw)	-0.887	eV per atom

abc: 4.650 4.650 4.134
angles: 90.00 90.00 90.00
Fractional coordinates of all 5 atoms:
Pb1 0.000 0.000 0.000
Na1 0.500 0.500 0.500
N1 0.000 0.000 0.500
F1 0.000 0.500 0.000
F2 0.500 0.000 0.000


Below is a relaxed structure of NaPbN2F, with properties calculated at the PBE-GGA level.

Summary:
calculated total energy	-4.268	eV per atom
energy relative to the lowest polymorph listed for this composition	0.000	eV per atom
ΔE_f (raw)	0.441	eV per atom

abc: 4.532 4.532 4.714
angles: 90.00 90.00 90.00
Fractional coordinates of all 5 atoms:
Pb1 0.000 0.000 0.000
Na1 0.500 0.500 0.500
N1 0.000 0.500 0.000
N2 0.500 0.000 0.000
F1 0.000 0.000 0.500


Below is a relaxed structure of NaPbN2F, with properties calculated at the PBE-GGA level.

Summary:
calculated total energy	-3.941	eV per atom
energy relative to the lowest polymorph listed for this composition	0.327	eV per atom
ΔE_f (raw)	0.769	eV per atom

abc: 4.633 4.633 4.110
angles: 90.00 90.00 90.00
Fractional coordinates of all 5 atoms:
Pb1 0.500 0.500 0.500
Na1 0.000 0.000 0.000
N1 0.000 0.500 0.000
N2 0.500 0.000 0.000
F1 0.000 0.000 0.500


Below is a relaxed structure of NaPbNF2, with properties calculated at the PBE-GGA level.

Summary:
calculated total energy	-4.157	eV per atom
energy relative to the lowest polymorph listed for this composition	0.149	eV per atom
ΔE_f (raw)	-0.738	eV per atom

abc: 4.136 4.136 4.525
angles: 90.00 90.00 90.00
Fractional coordinates of all 5 atoms:
Pb1 0.500 0.500 0.500
Na1 0.000 0.000 0.000
N1 0.000 0.000 0.500
F1 0.000 0.500 0.000
F2 0.500 0.000 0.000


Below is a relaxed structure of NaPdNF2, with properties calculated at the PBE-GGA level.

Summary:
calculated total energy	-4.457	eV per atom
energy relative to the lowest polymorph listed for this composition	0.000	eV per atom
ΔE_f (raw)	-0.741	eV per atom

abc: 4.514 4.514 3.686
angles: 90.00 90.00 90.00
Fractional coordinates of all 5 atoms:
Na1 0.500 0.500 0.500
N1 0.000 0.000 0.500
Pd1 0.000 0.000 0.000
F1 0.000 0.500 0.000
F2 0.500 0.000 0.000


Below is a relaxed structure of NaPdNF2, with properties calculated at the PBE-GGA level.

Summary:
calculated total energy	-3.526	eV per atom
energy relative to the lowest polymorph listed for this composition	0.931	eV per atom
ΔE_f (raw)	0.190	eV per atom

abc: 4.117 4.117 4.410
angles: 90.00 90.00 90.00
Fractional coordinates of all 5 atoms:
Na1 0.000 0.000 0.000
N1 0.000 0.000 0.500
Pd1 0.500 0.500 0.500
F1 0.000 0.500 0.000
F2 0.500 0.000 0.000


Below is a relaxed structure of NaRhN2F, with properties calculated at the PBE-GGA level.

Summary:
calculated total energy	-3.563	eV per atom
energy relative to the lowest polymorph listed for this composition	1.841	eV per atom
ΔE_f (raw)	1.876	eV per atom

abc: 4.156 4.156 3.786
angles: 90.00 90.00 90.00
Fractional coordinates of all 5 atoms:
Na1 0.000 0.000 0.000
N1 0.000 0.500 0.000
N2 0.500 0.000 0.000
Rh1 0.500 0.500 0.500
F1 0.000 0.000 0.500


Below is a relaxed structure of NaRhN2F, with properties calculated at the PBE-GGA level.

Summary:
calculated total energy	-5.404	eV per atom
energy relative to the lowest polymorph listed for this composition	0.000	eV per atom
ΔE_f (raw)	0.035	eV per atom

abc: 3.741 3.741 5.199
angles: 90.00 90.00 90.00
Fractional coordinates of all 5 atoms:
Na1 0.500 0.500 0.500
N1 0.000 0.500 0.000
N2 0.500 0.000 0.000
Rh1 0.000 0.000 0.000
F1 0.000 0.000 0.500


Below is a relaxed structure of NaRhNF2, with properties calculated at the PBE-GGA level.

Summary:
calculated total energy	-3.826	eV per atom
energy relative to the lowest polymorph listed for this composition	1.289	eV per atom
ΔE_f (raw)	0.322	eV per atom

abc: 4.049 4.049 4.378
angles: 90.00 90.00 90.00
Fractional coordinates of all 5 atoms:
Na1 0.000 0.000 0.000
N1 0.000 0.000 0.500
Rh1 0.500 0.500 0.500
F1 0.000 0.500 0.000
F2 0.500 0.000 0.000


Below is a relaxed structure of NaRhNF2, with properties calculated at the PBE-GGA level.

Summary:
calculated total energy	-5.114	eV per atom
energy relative to the lowest polymorph listed for this composition	0.000	eV per atom
ΔE_f (raw)	-0.966	eV per atom

abc: 4.412 4.412 3.661
angles: 90.00 90.00 90.00
Fractional coordinates of all 5 atoms:
Na1 0.500 0.500 0.500
N1 0.000 0.000 0.500
Rh1 0.000 0.000 0.000
F1 0.000 0.500 0.000
F2 0.500 0.000 0.000


Below is a relaxed structure of NaSN2F, with properties calculated at the PBE-GGA level.

Summary:
calculated total energy	-4.569	eV per atom
energy relative to the lowest polymorph listed for this composition	0.000	eV per atom
ΔE_f (raw)	0.224	eV per atom

abc: 3.349 3.349 5.708
angles: 90.00 90.00 90.00
Fractional coordinates of all 5 atoms:
Na1 0.500 0.500 0.500
S1 0.000 0.000 0.000
N1 0.000 0.500 0.000
N2 0.500 0.000 0.000
F1 0.000 0.000 0.500


Below is a relaxed structure of NaSN2F, with properties calculated at the PBE-GGA level.

Summary:
calculated total energy	-2.802	eV per atom
energy relative to the lowest polymorph listed for this composition	1.767	eV per atom
ΔE_f (raw)	1.991	eV per atom

abc: 4.745 4.745 5.494
angles: 90.00 90.00 90.00
Fractional coordinates of all 5 atoms:
Na1 0.000 0.000 0.000
S1 0.000 0.000 0.500
N1 0.000 0.500 0.000
N2 0.500 0.000 0.000
F1 0.500 0.500 0.500


Below is a relaxed structure of NaSN2F, with properties calculated at the PBE-GGA level.

Summary:
calculated total energy	-3.141	eV per atom
energy relative to the lowest polymorph listed for this composition	1.428	eV per atom
ΔE_f (raw)	1.653	eV per atom

abc: 4.937 4.937 3.887
angles: 90.00 90.00 90.00
Fractional coordinates of all 5 atoms:
Na1 0.500 0.500 0.500
S1 0.000 0.000 0.500
N1 0.000 0.500 0.000
N2 0.500 0.000 0.000
F1 0.000 0.000 0.000


Below is a relaxed structure of NaSN2F, with properties calculated at the PBE-GGA level.

Summary:
calculated total energy	-3.125	eV per atom
energy relative to the lowest polymorph listed for this composition	1.444	eV per atom
ΔE_f (raw)	1.669	eV per atom

abc: 4.843 4.843 4.024
angles: 90.00 90.00 90.00
Fractional coordinates of all 5 atoms:
Na1 0.000 0.000 0.000
S1 0.500 0.500 0.500
N1 0.000 0.500 0.000
N2 0.500 0.000 0.000
F1 0.000 0.000 0.500


Below is a relaxed structure of NaS2NF, with properties calculated at the PBE-GGA level.

Summary:
calculated total energy	-2.490	eV per atom
energy relative to the lowest polymorph listed for this composition	0.518	eV per atom
ΔE_f (raw)	1.464	eV per atom

abc: 5.410 5.410 4.749
angles: 90.00 90.00 90.00
Fractional coordinates of all 5 atoms:
Na1 0.000 0.000 0.000
S1 0.000 0.500 0.000
S2 0.500 0.000 0.000
N1 0.000 0.000 0.500
F1 0.500 0.500 0.500


Below is a relaxed structure of NaS2NF, with properties calculated at the PBE-GGA level.

Summary:
calculated total energy	-3.008	eV per atom
energy relative to the lowest polymorph listed for this composition	0.000	eV per atom
ΔE_f (raw)	0.946	eV per atom

abc: 4.302 4.302 5.027
angles: 90.00 90.00 90.00
Fractional coordinates of all 5 atoms:
Na1 0.500 0.500 0.500
S1 0.000 0.500 0.000
S2 0.500 0.000 0.000
N1 0.000 0.000 0.500
F1 0.000 0.000 0.000


Below is a relaxed structure of NaSNF2, with properties calculated at the PBE-GGA level.

Summary:
calculated total energy	-4.206	eV per atom
energy relative to the lowest polymorph listed for this composition	0.000	eV per atom
ΔE_f (raw)	-0.703	eV per atom

abc: 4.499 4.499 3.334
angles: 90.00 90.00 90.00
Fractional coordinates of all 5 atoms:
Na1 0.500 0.500 0.500
S1 0.000 0.000 0.000
N1 0.000 0.000 0.500
F1 0.000 0.500 0.000
F2 0.500 0.000 0.000


What are the N(E_F) values for these records? In order: 0.79; 1.46; 0.89; 2.61; 1.61; 1.75; 1.28; 3.19; 6.07; 8.40; 1.89; 3.52; 1.84; 2.94; 3.04; 1.67; 2.33; 1.65; 2.63; 0.71 states/eV/f.u..